(1)
# La4Sm11Er9 (PBE, relaxed)
data_La4Sm11Er9
_symmetry_space_group_name_H-M 'C m m m'
_symmetry_Int_Tables_number 65
_symmetry_space_group_name_Hall '-C 2 2'
_cell_length_a 16.929
_cell_length_b 25.388
_cell_length_c 3.722
_cell_angle_alpha 90.00
_cell_angle_beta 90.00
_cell_angle_gamma 90.00
loop_
_atom_site_label
_atom_site_type_symbol
_atom_site_fract_x
_atom_site_fract_y
_atom_site_fract_z
_atom_site_occupancy
La1 La 0.154 0.100 0.000 1
Sm1 Sm 0.000 0.136 0.500 1
Sm2 Sm 0.000 0.342 0.500 1
Sm3 Sm 0.000 0.500 0.500 1
Sm4 Sm 0.212 0.000 0.500 1
Sm5 Sm 0.226 0.319 0.500 1
Er1 Er 0.000 0.000 0.000 1
Er2 Er 0.101 0.237 0.000 1
Er3 Er 0.138 0.427 0.000 1
# density of states at the Fermi level = 1.28 states/eV/atom
# calculated density = 7.7 Mg/m³
# final energy = -4.620 eV per atom
# formation energy = 0.0748 eV/atom

=====

(2)
# KY2In (PBE, relaxed)
data_KY2In
_symmetry_space_group_name_H-M 'C 1 2/m 1'
_symmetry_Int_Tables_number 12
_cell_length_a 10.817
_cell_length_b 3.661
_cell_length_c 6.959
_cell_angle_alpha 90.00
_cell_angle_beta 97.73
_cell_angle_gamma 90.00
loop_
_symmetry_equiv_pos_as_xyz
'x,y,z'
'-x,-y,-z'
'-x,y,-z'
'x,-y,z'
'x+1/2,y+1/2,z'
'-x+1/2,-y+1/2,-z'
'-x+1/2,y+1/2,-z'
'x+1/2,-y+1/2,z'
loop_
_atom_site_label
_atom_site_type_symbol
_atom_site_fract_x
_atom_site_fract_y
_atom_site_fract_z
_atom_site_occupancy
K1 K 0.000 0.000 0.000 1
Y1 Y 0.230 0.000 0.694 1
In1 In 0.000 0.500 0.500 1
# density of states at the Fermi level = 0.75 states/eV/atom
# calculated density = 4.0 Mg/m³
# final energy = -4.086 eV per atom
# formation energy = 0.1052 eV/atom

=====

(3)
# BaNp4S8 (PBE, relaxed)
data_BaNp4S8
_symmetry_space_group_name_H-M 'C 1 2/m 1'
_symmetry_Int_Tables_number 12
_cell_length_a 13.865
_cell_length_b 8.032
_cell_length_c 10.151
_cell_angle_alpha 90.00
_cell_angle_beta 132.13
_cell_angle_gamma 90.00
loop_
_symmetry_equiv_pos_as_xyz
'x,y,z'
'-x,-y,-z'
'-x,y,-z'
'x,-y,z'
'x+1/2,y+1/2,z'
'-x+1/2,-y+1/2,-z'
'-x+1/2,y+1/2,-z'
'x+1/2,-y+1/2,z'
loop_
_atom_site_label
_atom_site_type_symbol
_atom_site_fract_x
_atom_site_fract_y
_atom_site_fract_z
_atom_site_occupancy
Ba1 Ba 0.000 0.000 0.000 1
Np1 Np 0.000 0.253 0.500 1
Np2 Np 0.232 0.500 0.467 1
S1 S 0.003 0.000 0.323 1
S2 S 0.018 0.500 0.696 1
S3 S 0.238 0.233 0.310 1
# E_form (uncorrected) = -1.460 eV/atom
# density of states at the Fermi level = 3.04 states/eV/atom
# calculated density = 5.3 Mg/m³
# final energy = -8.130 eV per atom

=====

(4)
# Pm8P3CI4 (PBE, relaxed)
data_Pm8P3CI4
_symmetry_space_group_name_H-M 'R -3 m'
_symmetry_Int_Tables_number 166
_symmetry_space_group_name_Hall '-R 3 2"'
_cell_length_a 8.2541
_cell_length_b 8.2541
_cell_length_c 22.9519
_cell_angle_alpha 90.00
_cell_angle_beta 90.00
_cell_angle_gamma 120.00
loop_
_atom_site_label
_atom_site_type_symbol
_atom_site_fract_x
_atom_site_fract_y
_atom_site_fract_z
_atom_site_occupancy
Pm1 Pm 0.0000 0.0000 0.2289 1
Pm2 Pm 0.0268 0.5134 0.2270 1
P1 P 0.0000 0.5000 0.5000 1
C1 C 0.0000 0.0000 0.5000 1
I1 I 0.0000 0.0000 0.0000 1
I2 I 0.0000 0.5000 0.0000 1
# E_form (uncorrected) = -1.203 eV/atom
# density of states at the Fermi level = 0.49 states/eV/atom
# calculated density = 6.5 Mg/m³
# final energy = -5.557 eV per atom

=====

(5)
# LiCd6Rh (PBE, relaxed)
data_LiCd6Rh
_symmetry_space_group_name_H-M 'C 1 2/m 1'
_symmetry_Int_Tables_number 12
_cell_length_a 7.563
_cell_length_b 6.069
_cell_length_c 8.063
_cell_angle_alpha 90.00
_cell_angle_beta 105.19
_cell_angle_gamma 90.00
loop_
_symmetry_equiv_pos_as_xyz
'x,y,z'
'-x,-y,-z'
'-x,y,-z'
'x,-y,z'
'x+1/2,y+1/2,z'
'-x+1/2,-y+1/2,-z'
'-x+1/2,y+1/2,-z'
'x+1/2,-y+1/2,z'
loop_
_atom_site_label
_atom_site_type_symbol
_atom_site_fract_x
_atom_site_fract_y
_atom_site_fract_z
_atom_site_occupancy
Li1 Li 0.000 0.000 0.000 1
Cd1 Cd 0.124 0.500 0.900 1
Cd2 Cd 0.198 0.254 0.315 1
Rh1 Rh 0.000 0.500 0.500 1
# density of states at the Fermi level = 0.41 states/eV/atom
# calculated density = 7.3 Mg/m³
# final energy = -1.874 eV per atom
# formation energy = -0.0292 eV/atom

=====

(6)
# HoIn2GeTe4 (PBE, relaxed)
data_HoIn2GeTe4
_symmetry_space_group_name_H-M 'P 1 2/m 1'
_symmetry_Int_Tables_number 10
_cell_length_a 7.672
_cell_length_b 4.373
_cell_length_c 7.923
_cell_angle_alpha 90.00
_cell_angle_beta 108.78
_cell_angle_gamma 90.00
loop_
_symmetry_equiv_pos_as_xyz
'x,y,z'
'-x,-y,-z'
'-x,y,-z'
'x,-y,z'
loop_
_atom_site_label
_atom_site_type_symbol
_atom_site_fract_x
_atom_site_fract_y
_atom_site_fract_z
_atom_site_occupancy
Ho1 Ho 0.000 0.000 0.000 1
In1 In 0.000 0.500 0.500 1
In2 In 0.500 0.000 0.500 1
Ge1 Ge 0.500 0.500 0.000 1
Te1 Te 0.245 0.500 0.227 1
Te2 Te 0.257 0.000 0.772 1
# E_form (uncorrected) = -0.537 eV/atom
# density of states at the Fermi level = 0.45 states/eV/atom
# calculated density = 6.5 Mg/m³
# final energy = -3.942 eV per atom

=====

(7)
# La7TbTm3 (PBE, relaxed)
data_La7TbTm3
_symmetry_space_group_name_H-M 'I m m m'
_symmetry_Int_Tables_number 71
_symmetry_space_group_name_Hall '-I 2 2'
_cell_length_a 5.993
_cell_length_b 11.313
_cell_length_c 11.658
_cell_angle_alpha 90.00
_cell_angle_beta 90.00
_cell_angle_gamma 90.00
loop_
_atom_site_label
_atom_site_type_symbol
_atom_site_fract_x
_atom_site_fract_y
_atom_site_fract_z
_atom_site_occupancy
La1 La 0.000 0.000 0.000 1
La2 La 0.000 0.208 0.500 1
La3 La 0.000 0.308 0.213 1
Tb1 Tb 0.000 0.500 0.500 1
Tm1 Tm 0.000 0.000 0.294 1
Tm2 Tm 0.000 0.500 0.000 1
# density of states at the Fermi level = 1.40 states/eV/atom
# calculated density = 6.9 Mg/m³
# final energy = -4.563 eV per atom
# formation energy = 0.2130 eV/atom

=====

(8)
# KLa2Ta (PBE, relaxed)
data_KLa2Ta
_symmetry_space_group_name_H-M 'P 4/m m m'
_symmetry_Int_Tables_number 123
_symmetry_space_group_name_Hall '-P 4 2'
_cell_length_a 5.493
_cell_length_b 5.493
_cell_length_c 4.068
_cell_angle_alpha 90.00
_cell_angle_beta 90.00
_cell_angle_gamma 90.00
loop_
_atom_site_label
_atom_site_type_symbol
_atom_site_fract_x
_atom_site_fract_y
_atom_site_fract_z
_atom_site_occupancy
K1 K 0.000 0.000 0.000 1
La1 La 0.000 0.500 0.500 1
Ta1 Ta 0.500 0.500 0.000 1
# density of states at the Fermi level = 1.50 states/eV/atom
# calculated density = 6.7 Mg/m³
# final energy = -4.763 eV per atom
# formation energy = 0.9384 eV/atom

=====

(9)
# LiTc2Sb (PBE, relaxed)
data_LiTc2Sb
_symmetry_space_group_name_H-M 'P 4 m m'
_symmetry_Int_Tables_number 99
_cell_length_a 3.026
_cell_length_b 3.026
_cell_length_c 7.746
_cell_angle_alpha 90.00
_cell_angle_beta 90.00
_cell_angle_gamma 90.00
loop_
_symmetry_equiv_pos_as_xyz
'x,y,z'
'-y,x,z'
'-x,-y,z'
'y,-x,z'
'-x,y,z'
'y,x,z'
'x,-y,z'
'-y,-x,z'
loop_
_atom_site_label
_atom_site_type_symbol
_atom_site_fract_x
_atom_site_fract_y
_atom_site_fract_z
_atom_site_occupancy
Li1 Li 0.000 0.000 0.000 1
Tc1 Tc 0.000 0.000 0.565 1
Tc2 Tc 0.500 0.500 0.749 1
Sb1 Sb 0.500 0.500 0.304 1
# E_form (uncorrected) = 0.151 eV/atom
# density of states at the Fermi level = 0.79 states/eV/atom
# calculated density = 7.6 Mg/m³
# final energy = -6.541 eV per atom

=====

(10)
# PrTh2Sn (PBE, relaxed)
data_PrTh2Sn
_symmetry_space_group_name_H-M 'P 4/m m m'
_symmetry_Int_Tables_number 123
_symmetry_space_group_name_Hall '-P 4 2'
_cell_length_a 4.903
_cell_length_b 4.903
_cell_length_c 5.051
_cell_angle_alpha 90.00
_cell_angle_beta 90.00
_cell_angle_gamma 90.00
loop_
_atom_site_label
_atom_site_type_symbol
_atom_site_fract_x
_atom_site_fract_y
_atom_site_fract_z
_atom_site_occupancy
Pr1 Pr 0.000 0.000 0.000 1
Th1 Th 0.000 0.500 0.500 1
Sn1 Sn 0.500 0.500 0.000 1
# density of states at the Fermi level = 1.19 states/eV/atom
# calculated density = 9.9 Mg/m³
# final energy = -6.235 eV per atom
# formation energy = -0.3297 eV/atom

=====

(11)
# CaTl2TeO8 (PBE, relaxed)
data_CaTl2TeO8
_symmetry_space_group_name_H-M 'P 1 2/m 1'
_symmetry_Int_Tables_number 10
_cell_length_a 4.564
_cell_length_b 7.007
_cell_length_c 5.249
_cell_angle_alpha 90.00
_cell_angle_beta 92.81
_cell_angle_gamma 90.00
loop_
_symmetry_equiv_pos_as_xyz
'x,y,z'
'-x,-y,-z'
'-x,y,-z'
'x,-y,z'
loop_
_atom_site_label
_atom_site_type_symbol
_atom_site_fract_x
_atom_site_fract_y
_atom_site_fract_z
_atom_site_occupancy
Ca1 Ca 0.000 0.000 0.000 1
Tl1 Tl 0.500 0.270 0.500 1
Te1 Te 0.000 0.500 0.000 1
O1 O 0.145 0.000 0.568 1
O2 O 0.227 0.500 0.695 1
O3 O 0.231 0.283 0.143 1
# E_form (uncorrected) = -0.999 eV/atom
# density of states at the Fermi level = 0.12 states/eV/atom
# calculated density = 7.0 Mg/m³
# final energy = -5.127 eV per atom